{"formula": "Rb2NaZrI6", "functional": "PBE", "state": "relaxed", "polymorph_energy_mev_per_atom": 11, "final_energy_ev_per_atom": -3.254, "e_form_raw_kj_per_mol_atoms": -110.37, "lattice_angstrom": [[-1.6532, 1.9642, 8.1723], [1.8915, -8.0283, 2.3123], [5.9111, -1.4402, 6.0313]], "species": ["I", "I", "Zr", "I", "I", "I", "Rb", "I", "Na", "Rb"], "fractional_positions": [[0.2413, 0.7587, 0.0000], [0.2413, 0.2413, 0.5174], [0.0000, 0.0000, 0.0000], [0.7587, 0.2413, 0.0000], [0.2413, 0.2413, 0.0000], [0.7587, 0.7587, 0.0000], [0.2500, 0.7500, 0.5000], [0.7587, 0.7587, 0.4826], [0.5000, 0.5000, 0.0000], [0.7500, 0.2500, 0.5000]]}